Density functional theory data (PBE) for crystalline KLiMn at its relaxed geometry.

```
data_KLiMn
_chemical_formula_sum 'K4 Li4 Mn4'
_symmetry_space_group_name_H-M 'P 1'
_symmetry_Int_Tables_number 1
_symmetry_space_group_name_Hall 'P 1'
_cell_length_a 7.498
_cell_length_b 7.498
_cell_length_c 7.498
_cell_angle_alpha 90.00
_cell_angle_beta 90.00
_cell_angle_gamma 90.00
loop_
_atom_site_label
_atom_site_type_symbol
_atom_site_fract_x
_atom_site_fract_y
_atom_site_fract_z
K1 K 0.000 0.000 0.000
K2 K 0.000 0.500 0.500
K3 K 0.500 0.000 0.500
K4 K 0.500 0.500 0.000
Li1 Li 0.250 0.250 0.250
Li2 Li 0.250 0.750 0.750
Li3 Li 0.750 0.250 0.750
Li4 Li 0.750 0.750 0.250
Mn1 Mn 0.000 0.000 0.500
Mn2 Mn 0.000 0.500 0.000
Mn3 Mn 0.500 0.000 0.000
Mn4 Mn 0.500 0.500 0.500
```

Summary:
For the total energy, the calculation gives -3.1297 eV/atom. For the size of the total moment, the calculation gives 18.4 μB/cell. For the energy above the most stable polymorph in this dataset, the calculation gives 0.2559 eV per atom. As for the energy of formation from the pure elements: 2.8 eV per formula unit.


Density functional theory data (PBE) for crystalline AgSnPdSe4 at its relaxed geometry.

```
data_AgSnPdSe4
_chemical_formula_sum 'Ag2 Sn2 Pd2 Se8'
_symmetry_space_group_name_H-M 'P 1'
_symmetry_Int_Tables_number 1
_symmetry_space_group_name_Hall 'P 1'
_cell_length_a 7.836
_cell_length_b 7.836
_cell_length_c 7.836
_cell_angle_alpha 118.91
_cell_angle_beta 118.73
_cell_angle_gamma 92.06
loop_
_atom_site_label
_atom_site_type_symbol
_atom_site_fract_x
_atom_site_fract_y
_atom_site_fract_z
Ag1 Ag 0.390 0.140 0.250
Ag2 Ag 0.610 0.860 0.750
Sn1 Sn 0.000 0.500 0.500
Sn2 Sn 0.500 0.500 0.000
Pd1 Pd 0.000 0.000 0.500
Pd2 Pd 0.000 0.500 0.000
Se1 Se 0.210 0.748 0.462
Se2 Se 0.215 0.252 0.962
Se3 Se 0.236 0.246 0.510
Se4 Se 0.236 0.725 0.990
Se5 Se 0.764 0.275 0.010
Se6 Se 0.764 0.754 0.490
Se7 Se 0.785 0.748 0.038
Se8 Se 0.790 0.252 0.538
```

Summary:
Its uncorrected formation energy is -0.283 eV/atom. For the total energy, the calculation gives -3.9953 eV/atom. For the size of the total moment, the calculation gives 0.0 μB/cell.


Density functional theory data (PBE) for crystalline RbTiAsO5 at its relaxed geometry.

```
data_RbTiAsO5
_chemical_formula_sum 'Rb8 Ti8 As8 O40'
_symmetry_space_group_name_H-M 'P 1'
_symmetry_Int_Tables_number 1
_symmetry_space_group_name_Hall 'P 1'
_cell_length_a 13.484
_cell_length_b 6.790
_cell_length_c 10.904
_cell_angle_alpha 90.00
_cell_angle_beta 90.00
_cell_angle_gamma 90.00
loop_
_atom_site_label
_atom_site_type_symbol
_atom_site_fract_x
_atom_site_fract_y
_atom_site_fract_z
Rb1 Rb 0.110 0.194 0.000
Rb2 Rb 0.118 0.782 0.249
Rb3 Rb 0.382 0.282 0.749
Rb4 Rb 0.390 0.694 0.500
Rb5 Rb 0.610 0.306 0.000
Rb6 Rb 0.618 0.718 0.249
Rb7 Rb 0.882 0.218 0.749
Rb8 Rb 0.890 0.806 0.500
Ti1 Ti 0.129 0.505 0.572
Ti2 Ti 0.248 0.766 0.822
Ti3 Ti 0.252 0.266 0.322
Ti4 Ti 0.371 0.005 0.072
Ti5 Ti 0.629 0.995 0.572
Ti6 Ti 0.748 0.734 0.822
Ti7 Ti 0.752 0.234 0.322
Ti8 Ti 0.871 0.495 0.072
As1 As 0.000 0.331 0.316
As2 As 0.000 0.669 0.816
As3 As 0.179 0.007 0.563
As4 As 0.321 0.507 0.063
As5 As 0.500 0.169 0.316
As6 As 0.500 0.831 0.816
As7 As 0.679 0.493 0.563
As8 As 0.821 0.993 0.063
O1 O 0.011 0.535 0.682
O2 O 0.013 0.495 0.433
O3 O 0.101 0.821 0.839
O4 O 0.105 0.188 0.293
O5 O 0.107 0.208 0.596
O6 O 0.109 0.804 0.526
O7 O 0.217 0.447 0.437
O8 O 0.218 0.563 0.685
O9 O 0.242 0.543 0.940
O10 O 0.243 0.463 0.186
O11 O 0.257 0.963 0.686
O12 O 0.258 0.043 0.440
O13 O 0.282 0.063 0.185
O14 O 0.283 0.947 0.937
O15 O 0.391 0.304 0.026
O16 O 0.393 0.708 0.096
O17 O 0.395 0.688 0.793
O18 O 0.399 0.321 0.339
O19 O 0.487 0.995 0.933
O20 O 0.489 0.035 0.182
O21 O 0.511 0.965 0.682
O22 O 0.513 0.005 0.433
O23 O 0.601 0.679 0.839
O24 O 0.605 0.312 0.293
O25 O 0.607 0.292 0.596
O26 O 0.609 0.696 0.526
O27 O 0.717 0.053 0.437
O28 O 0.718 0.937 0.685
O29 O 0.742 0.957 0.940
O30 O 0.743 0.037 0.186
O31 O 0.757 0.537 0.686
O32 O 0.758 0.457 0.440
O33 O 0.782 0.437 0.185
O34 O 0.783 0.553 0.937
O35 O 0.891 0.196 0.026
O36 O 0.893 0.792 0.096
O37 O 0.895 0.812 0.793
O38 O 0.899 0.179 0.339
O39 O 0.987 0.505 0.933
O40 O 0.989 0.465 0.182
```

Summary:
Its uncorrected formation energy is -2.123 eV/atom. For the total energy, the calculation gives -6.9113 eV/atom. For the size of the total moment, the calculation gives 0.0 μB/cell. For the energy above the most stable polymorph in this dataset, the calculation gives 0.0000 eV per atom.


Density functional theory data (PBE) for crystalline Na2LiCd at its relaxed geometry.

```
data_Na2LiCd
_chemical_formula_sum 'Na8 Li4 Cd4'
_symmetry_space_group_name_H-M 'P 1'
_symmetry_Int_Tables_number 1
_symmetry_space_group_name_Hall 'P 1'
_cell_length_a 8.553
_cell_length_b 8.553
_cell_length_c 6.062
_cell_angle_alpha 90.00
_cell_angle_beta 90.00
_cell_angle_gamma 90.00
loop_
_atom_site_label
_atom_site_type_symbol
_atom_site_fract_x
_atom_site_fract_y
_atom_site_fract_z
Na1 Na 0.245 0.250 0.125
Na2 Na 0.250 0.745 0.375
Na3 Na 0.250 0.755 0.875
Na4 Na 0.255 0.250 0.625
Na5 Na 0.745 0.750 0.625
Na6 Na 0.750 0.245 0.875
Na7 Na 0.750 0.255 0.375
Na8 Na 0.755 0.750 0.125
Li1 Li 0.000 0.000 0.000
Li2 Li 0.000 0.500 0.250
Li3 Li 0.500 0.000 0.750
Li4 Li 0.500 0.500 0.500
Cd1 Cd 0.000 0.000 0.500
Cd2 Cd 0.000 0.500 0.750
Cd3 Cd 0.500 0.000 0.250
Cd4 Cd 0.500 0.500 0.000
```

Summary:
For the total energy, the calculation gives -1.2997 eV/atom. For the size of the total moment, the calculation gives 0.0 μB/cell. As for the energy of formation from the pure elements: 0.3 eV per formula unit.


Density functional theory data (PBE) for crystalline GaHg3Br9 at its relaxed geometry.

```
data_GaHg3Br9
_chemical_formula_sum 'Ga2 Hg6 Br18'
_symmetry_space_group_name_H-M 'P 1'
_symmetry_Int_Tables_number 1
_symmetry_space_group_name_Hall 'P 1'
_cell_length_a 9.451
_cell_length_b 9.451
_cell_length_c 14.157
_cell_angle_alpha 107.05
_cell_angle_beta 107.05
_cell_angle_gamma 74.40
loop_
_atom_site_label
_atom_site_type_symbol
_atom_site_fract_x
_atom_site_fract_y
_atom_site_fract_z
Ga1 Ga 0.001 0.999 0.500
Ga2 Ga 0.999 0.001 0.000
Hg1 Hg 0.258 0.261 0.167
Hg2 Hg 0.261 0.258 0.667
Hg3 Hg 0.446 0.617 0.323
Hg4 Hg 0.504 0.879 0.957
Hg5 Hg 0.617 0.446 0.823
Hg6 Hg 0.879 0.504 0.457
Br1 Br 0.021 0.532 0.638
Br2 Br 0.047 0.051 0.178
Br3 Br 0.051 0.047 0.678
Br4 Br 0.054 0.747 0.414
Br5 Br 0.107 0.205 0.979
Br6 Br 0.141 0.774 0.929
Br7 Br 0.205 0.107 0.479
Br8 Br 0.295 0.563 0.144
Br9 Br 0.347 0.349 0.856
Br10 Br 0.349 0.347 0.356
Br11 Br 0.451 0.763 0.773
Br12 Br 0.532 0.021 0.138
Br13 Br 0.563 0.295 0.644
Br14 Br 0.576 0.724 0.500
Br15 Br 0.724 0.576 0.000
Br16 Br 0.747 0.054 0.914
Br17 Br 0.763 0.451 0.273
Br18 Br 0.774 0.141 0.429
```

Summary:
Its uncorrected formation energy is -0.545 eV/atom. For the total energy, the calculation gives -2.0058 eV/atom. For the size of the total moment, the calculation gives 0.0 μB/cell.


Density functional theory data (PBE) for crystalline Nd8Er5Sc at its relaxed geometry.

```
data_Nd8Er5Sc
_chemical_formula_sum 'Nd8 Er5 Sc1'
_symmetry_space_group_name_H-M 'P 1'
_symmetry_Int_Tables_number 1
_symmetry_space_group_name_Hall 'P 1'
_cell_length_a 8.524
_cell_length_b 8.524
_cell_length_c 8.524
_cell_angle_alpha 110.98
_cell_angle_beta 110.98
_cell_angle_gamma 106.49
loop_
_atom_site_label
_atom_site_type_symbol
_atom_site_fract_x
_atom_site_fract_y
_atom_site_fract_z
Nd1 Nd 0.180 0.409 0.598
Nd2 Nd 0.330 0.226 0.238
Nd3 Nd 0.417 0.820 0.229
Nd4 Nd 0.591 0.189 0.771
Nd5 Nd 0.774 0.012 0.104
Nd6 Nd 0.811 0.583 0.402
Nd7 Nd 0.908 0.670 0.896
Nd8 Nd 0.988 0.092 0.762
Er1 Er 0.070 0.471 0.192
Er2 Er 0.122 0.930 0.401
Er3 Er 0.280 0.878 0.808
Er4 Er 0.529 0.720 0.599
Er5 Er 0.750 0.250 0.500
Sc1 Sc 0.500 0.500 0.000
```

Summary:
For the total energy, the calculation gives -4.5435 eV/atom. For the size of the total moment, the calculation gives 0.0 μB/cell. As for the energy of formation from the pure elements: 3.7 eV per formula unit.


Density functional theory data (PBE) for crystalline CaIrW2 at its relaxed geometry.

```
data_CaIrW2
_chemical_formula_sum 'Ca1 Ir1 W2'
_symmetry_space_group_name_H-M 'P 1'
_symmetry_Int_Tables_number 1
_symmetry_space_group_name_Hall 'P 1'
_cell_length_a 2.780
_cell_length_b 4.680
_cell_length_c 5.387
_cell_angle_alpha 90.00
_cell_angle_beta 90.00
_cell_angle_gamma 90.00
loop_
_atom_site_label
_atom_site_type_symbol
_atom_site_fract_x
_atom_site_fract_y
_atom_site_fract_z
Ca1 Ca 0.000 0.000 0.000
Ir1 Ir 0.000 0.000 0.500
W1 W 0.500 0.500 0.256
W2 W 0.500 0.500 0.744
```

Summary:
For the total energy, the calculation gives -8.5314 eV/atom. For the size of the total moment, the calculation gives 0.0 μB/cell. For the energy above the most stable polymorph in this dataset, the calculation gives 0.3675 eV per atom. As for the energy of formation from the pure elements: 2.6 eV per formula unit.


Density functional theory data (PBE) for crystalline MgOs3 at its relaxed geometry.

```
data_MgOs3
_chemical_formula_sum 'Mg3 Os9'
_symmetry_space_group_name_H-M 'P 1'
_symmetry_Int_Tables_number 1
_symmetry_space_group_name_Hall 'P 1'
_cell_length_a 8.639
_cell_length_b 8.639
_cell_length_c 2.752
_cell_angle_alpha 90.00
_cell_angle_beta 90.00
_cell_angle_gamma 120.00
loop_
_atom_site_label
_atom_site_type_symbol
_atom_site_fract_x
_atom_site_fract_y
_atom_site_fract_z
Mg1 Mg 0.000 0.000 0.000
Mg2 Mg 0.333 0.667 0.667
Mg3 Mg 0.667 0.333 0.333
Os1 Os 0.000 0.500 0.000
Os2 Os 0.167 0.333 0.333
Os3 Os 0.167 0.833 0.333
Os4 Os 0.333 0.167 0.667
Os5 Os 0.500 0.000 0.000
Os6 Os 0.500 0.500 0.000
Os7 Os 0.667 0.833 0.333
Os8 Os 0.833 0.167 0.667
Os9 Os 0.833 0.667 0.667
```

Summary:
For the total energy, the calculation gives -8.3343 eV/atom. For the size of the total moment, the calculation gives 0.0 μB/cell. As for the energy of formation from the pure elements: 1.9 eV per formula unit.


Density functional theory data (PBE) for crystalline YHf2Ta at its relaxed geometry.

```
data_YHf2Ta
_chemical_formula_sum 'Y1 Hf2 Ta1'
_symmetry_space_group_name_H-M 'P 1'
_symmetry_Int_Tables_number 1
_symmetry_space_group_name_Hall 'P 1'
_cell_length_a 3.544
_cell_length_b 3.544
_cell_length_c 7.493
_cell_angle_alpha 90.00
_cell_angle_beta 90.00
_cell_angle_gamma 90.00
loop_
_atom_site_label
_atom_site_type_symbol
_atom_site_fract_x
_atom_site_fract_y
_atom_site_fract_z
Y1 Y 0.000 0.000 0.000
Hf1 Hf 0.500 0.500 0.298
Hf2 Hf 0.500 0.500 0.702
Ta1 Ta 0.000 0.000 0.500
```

Summary:
For the total energy, the calculation gives -9.3843 eV/atom. For the size of the total moment, the calculation gives 0.0 μB/cell. For the energy above the most stable polymorph in this dataset, the calculation gives 0.0000 eV per atom. As for the energy of formation from the pure elements: 0.7 eV per formula unit.


Density functional theory data (PBE) for crystalline K3Pr3UTe8 at its relaxed geometry.

```
data_K3Pr3UTe8
_chemical_formula_sum 'K3 Pr3 U1 Te8'
_symmetry_space_group_name_H-M 'P 1'
_symmetry_Int_Tables_number 1
_symmetry_space_group_name_Hall 'P 1'
_cell_length_a 9.919
_cell_length_b 9.919
_cell_length_c 9.919
_cell_angle_alpha 55.09
_cell_angle_beta 55.09
_cell_angle_gamma 55.09
loop_
_atom_site_label
_atom_site_type_symbol
_atom_site_fract_x
_atom_site_fract_y
_atom_site_fract_z
K1 K 0.000 0.500 0.500
K2 K 0.500 0.000 0.500
K3 K 0.500 0.500 0.000
Pr1 Pr 0.000 0.000 0.500
Pr2 Pr 0.000 0.500 0.000
Pr3 Pr 0.500 0.000 0.000
U1 U 0.500 0.500 0.500
Te1 Te 0.239 0.239 0.239
Te2 Te 0.247 0.730 0.730
Te3 Te 0.270 0.270 0.753
Te4 Te 0.270 0.753 0.270
Te5 Te 0.730 0.247 0.730
Te6 Te 0.730 0.730 0.247
Te7 Te 0.753 0.270 0.270
Te8 Te 0.761 0.761 0.761
```

Summary:
Its uncorrected formation energy is -1.249 eV/atom. For the total energy, the calculation gives -4.8526 eV/atom. For the size of the total moment, the calculation gives 2.0 μB/cell.


Repeat the first record exactly.
Density functional theory data (PBE) for crystalline KLiMn at its relaxed geometry.

```
data_KLiMn
_chemical_formula_sum 'K4 Li4 Mn4'
_symmetry_space_group_name_H-M 'P 1'
_symmetry_Int_Tables_number 1
_symmetry_space_group_name_Hall 'P 1'
_cell_length_a 7.498
_cell_length_b 7.498
_cell_length_c 7.498
_cell_angle_alpha 90.00
_cell_angle_beta 90.00
_cell_angle_gamma 90.00
loop_
_atom_site_label
_atom_site_type_symbol
_atom_site_fract_x
_atom_site_fract_y
_atom_site_fract_z
K1 K 0.000 0.000 0.000
K2 K 0.000 0.500 0.500
K3 K 0.500 0.000 0.500
K4 K 0.500 0.500 0.000
Li1 Li 0.250 0.250 0.250
Li2 Li 0.250 0.750 0.750
Li3 Li 0.750 0.250 0.750
Li4 Li 0.750 0.750 0.250
Mn1 Mn 0.000 0.000 0.500
Mn2 Mn 0.000 0.500 0.000
Mn3 Mn 0.500 0.000 0.000
Mn4 Mn 0.500 0.500 0.500
```

Summary:
For the total energy, the calculation gives -3.1297 eV/atom. For the size of the total moment, the calculation gives 18.4 μB/cell. For the energy above the most stable polymorph in this dataset, the calculation gives 0.2559 eV per atom. As for the energy of formation from the pure elements: 2.8 eV per formula unit.


Please write out number 9 again, unchanged.
Density functional theory data (PBE) for crystalline YHf2Ta at its relaxed geometry.

```
data_YHf2Ta
_chemical_formula_sum 'Y1 Hf2 Ta1'
_symmetry_space_group_name_H-M 'P 1'
_symmetry_Int_Tables_number 1
_symmetry_space_group_name_Hall 'P 1'
_cell_length_a 3.544
_cell_length_b 3.544
_cell_length_c 7.493
_cell_angle_alpha 90.00
_cell_angle_beta 90.00
_cell_angle_gamma 90.00
loop_
_atom_site_label
_atom_site_type_symbol
_atom_site_fract_x
_atom_site_fract_y
_atom_site_fract_z
Y1 Y 0.000 0.000 0.000
Hf1 Hf 0.500 0.500 0.298
Hf2 Hf 0.500 0.500 0.702
Ta1 Ta 0.000 0.000 0.500
```

Summary:
For the total energy, the calculation gives -9.3843 eV/atom. For the size of the total moment, the calculation gives 0.0 μB/cell. For the energy above the most stable polymorph in this dataset, the calculation gives 0.0000 eV per atom. As for the energy of formation from the pure elements: 0.7 eV per formula unit.